This record from Alexandria describes an optimized crystal structure of La2RuPbN. The functional is PBE.

Geometry as POSCAR:
```
La2RuPbN
1.0
5.352 0.000 0.000
0.000 5.352 0.000
0.000 0.000 3.995
Pb Ru La N
1 1 2 1
Direct
0.500 0.500 0.500
0.000 0.000 0.500
0.500 0.000 0.000
0.000 0.500 0.000
0.000 0.000 0.000
```

## Properties
* total energy: -34.23 eV for the cell shown
* Fermi-level density of states: 0.91 states/eV per atom